First-principles (PBE-GGA) data for a relaxed Ca3Y3N5 crystal, as listed in Alexandria via LeMat-Bulk.

Cell: 6.1392 7.0639 9.4022 Å, 79.10 79.05 72.52°
With the nearest neighbours (Å) after each atom.
Fractional positions:
1 Ca 0.2008 0.4129 0.1052  4 N 2.34-2.48
2 Ca 0.2313 0.2435 0.7433  3 N 2.35-2.59
3 Ca 0.2621 0.0806 0.4101  5 N 2.52-2.60
4 Ca 0.7379 0.9194 0.5899  5 N 2.52-2.60
5 Ca 0.7687 0.7565 0.2567  3 N 2.35-2.59
6 Ca 0.7992 0.5871 0.8948  4 N 2.34-2.48
7 Y 0.2356 0.7865 0.7432  5 N 2.29-2.51
8 Y 0.2366 0.5877 0.4439  4 N 2.23-2.48
9 Y 0.2416 0.9464 0.0737  5 N 2.28-2.50
10 Y 0.7584 0.0536 0.9263  5 N 2.28-2.50
11 Y 0.7634 0.4123 0.5561  4 N 2.23-2.48
12 Y 0.7644 0.2135 0.2568  5 N 2.29-2.51
13 N 0.0176 0.7561 0.9895  3 Y 2.28-2.50, 2 Ca 2.42-2.48
14 N 0.0206 0.5828 0.6631  1 Y 2.23, 2 Ca 2.34-2.41
15 N 0.0224 0.9112 0.3162  3 Y 2.29-2.48, 2 Ca 2.35-2.52
16 N 0.4867 0.7327 0.5173  3 Y 2.34-2.40, 2 Ca 2.55-2.56
17 N 0.4939 0.9044 0.8482  3 Y 2.39-2.46, 3 Ca 2.48-2.60
18 N 0.5061 0.0956 0.1518  3 Y 2.39-2.46, 3 Ca 2.48-2.60
19 N 0.5133 0.2673 0.4827  3 Y 2.34-2.40, 2 Ca 2.55-2.56
20 N 0.9776 0.0888 0.6838  3 Y 2.29-2.48, 2 Ca 2.35-2.52
21 N 0.9794 0.4172 0.3369  1 Y 2.23, 2 Ca 2.34-2.41
22 N 0.9824 0.2439 0.0105  3 Y 2.28-2.50, 2 Ca 2.42-2.48

The value obtained for the formation energy from raw total energies is -13.24 eV per formula unit. For the volume, the calculation gives 378.0 Å³/cell. As for the total energy: -7.30 eV per atom.

=====

First-principles (PBE-GGA) data for a relaxed Ho7ScIn4 crystal, as listed in Alexandria via LeMat-Bulk.

Cell: 7.8969 7.8969 9.6716 Å, 119.21 119.21 41.75°
With the nearest neighbours (Å) after each atom.
Fractional positions:
1 Ho 0.0000 0.0000 0.0000  2 Sc 2.81, 2 In 2.97
2 Ho 0.2504 0.2504 0.7098  4 In 2.97-3.14, 1 Sc 3.26
3 Ho 0.2967 0.2967 0.1223  4 In 3.39-3.78, 6 Ho 3.46-3.68, 1 Sc 3.76
4 Ho 0.4267 0.4267 0.5863  5 In 3.16-3.45, 2 Ho 3.35-3.38
5 Ho 0.5733 0.5733 0.4137  5 In 3.16-3.45, 2 Ho 3.35-3.38
6 Ho 0.7033 0.7033 0.8777  4 In 3.39-3.78, 6 Ho 3.46-3.68, 1 Sc 3.76
7 Ho 0.7496 0.7496 0.2902  4 In 2.97-3.14, 1 Sc 3.26
8 Sc 0.5000 0.5000 0.0000  2 Ho 2.81
9 In 0.0476 0.0476 0.7049  4 Ho 2.97-3.28, 1 In 3.11
10 In 0.1781 0.1781 0.3428  5 Ho 2.97-3.16, 1 In 3.11
11 In 0.8219 0.8219 0.6572  5 Ho 2.97-3.16, 1 In 3.11
12 In 0.9524 0.9524 0.2951  4 Ho 2.97-3.28, 1 In 3.11

For the volume, the calculation gives 342.5 Å³/cell. As for the total energy: -4.20 eV per atom.

=====

First-principles (PBE-GGA) data for a relaxed CaH2Pt crystal, as listed in Alexandria via LeMat-Bulk.

Cell: 4.0947 4.0947 4.0947 Å, 60.00 60.00 60.00°
With the nearest neighbours (Å) after each atom.
Fractional positions:
1 Ca 0.0000 0.0000 0.0000  8 H 2.51
2 H 0.2500 0.2500 0.2500  4 Ca 2.51, 4 Pt 2.51
3 H 0.7500 0.7500 0.7500  4 Ca 2.51, 4 Pt 2.51
4 Pt 0.5000 0.5000 0.5000  8 H 2.51

For the energy above the most stable polymorph in this dataset, the calculation gives 616.8 meV per atom. For the volume, the calculation gives 48.5 Å³/cell. As for the total energy: -3.71 eV per atom.

=====

First-principles (PBE-GGA) data for a relaxed Ca3I3N crystal, as listed in Alexandria via LeMat-Bulk.

Cell: 8.0665 8.0665 7.9610 Å, 97.52 97.52 114.79°
With the nearest neighbours (Å) after each atom.
Fractional positions:
1 Ca 0.0917 0.0917 0.3504  2 N 2.26-2.27
2 Ca 0.1591 0.4193 0.7631  1 N 2.16
3 Ca 0.4193 0.1591 0.7631  1 N 2.16
4 Ca 0.5807 0.8409 0.2369  1 N 2.16
5 Ca 0.8409 0.5807 0.2369  1 N 2.16
6 Ca 0.9083 0.9083 0.6496  2 N 2.26-2.27
7 I 0.1865 0.8135 0.0000  6 Ca 3.38-3.71
8 I 0.2668 0.7332 0.5000  4 Ca 3.40-3.41
9 I 0.3735 0.3735 0.1536  5 Ca 3.21-3.50
10 I 0.6265 0.6265 0.8464  5 Ca 3.21-3.50
11 I 0.7332 0.2668 0.5000  4 Ca 3.40-3.41
12 I 0.8135 0.1865 0.0000  6 Ca 3.38-3.71
13 N 0.1675 0.1675 0.6432  4 Ca 2.16-2.27
14 N 0.8325 0.8325 0.3568  4 Ca 2.16-2.27

The value obtained for the formation energy from raw total energies is -9.44 eV per formula unit. For the energy above the most stable polymorph in this dataset, the calculation gives 0.0 meV per atom. For the volume, the calculation gives 456.2 Å³/cell. As for the total energy: -4.06 eV per atom.

=====

First-principles (PBE-GGA) data for a relaxed NaTc3Sn crystal, as listed in Alexandria via LeMat-Bulk.

Cell: 5.0881 5.0881 5.0881 Å, 90.00 90.00 90.00°
With the nearest neighbours (Å) after each atom.
Fractional positions:
1 Na 0.0000 0.0000 0.0000  12 Tc 3.60
2 Tc 0.0000 0.5000 0.5000  2 Sn 2.54
3 Tc 0.5000 0.0000 0.5000  2 Sn 2.54
4 Tc 0.5000 0.5000 0.0000  2 Sn 2.54
5 Sn 0.5000 0.5000 0.5000  6 Tc 2.54

For the energy above the most stable polymorph in this dataset, the calculation gives 0.0 meV per atom. For the volume, the calculation gives 131.7 Å³/cell. As for the total energy: -5.34 eV per atom.

=====

First-principles (PBE-GGA) data for a relaxed AcNdRh crystal, as listed in Alexandria via LeMat-Bulk.

Cell: 4.2479 4.2479 6.6485 Å, 90.00 90.00 120.00°
With the nearest neighbours (Å) after each atom.
Fractional positions:
1 Ac 0.0000 0.0000 0.0000  3 Rh 2.95
2 Nd 0.3333 0.6667 0.5317  3 Rh 2.86
3 Rh 0.6667 0.3333 0.7543  3 Nd 2.86, 3 Ac 2.95

For the energy above the most stable polymorph in this dataset, the calculation gives 23.2 meV per atom. For the volume, the calculation gives 103.9 Å³/cell. As for the total energy: -5.90 eV per atom.

=====

First-principles (PBE-GGA) data for a relaxed LiCrP crystal, as listed in Alexandria via LeMat-Bulk.

Cell: 6.3086 6.1468 2.6518 Å, 81.15 74.31 24.54°
With the nearest neighbours (Å) after each atom.
Fractional positions:
1 Li 0.0000 0.0000 0.0000  2 P 2.60, 4 Li 2.65, 2 Cr 2.77
2 Cr 0.3083 0.3083 0.6917  2 P 2.25
3 P 0.6740 0.6740 0.3260  2 Cr 2.25

For the volume, the calculation gives 40.0 Å³/cell. As for the total energy: -5.59 eV per atom.

=====

First-principles (PBE-GGA) data for a relaxed BeZnRu2 crystal, as listed in Alexandria via LeMat-Bulk.

Cell: 4.8603 4.8603 4.8603 Å, 145.74 127.14 64.51°
With the nearest neighbours (Å) after each atom.
Fractional positions:
1 Be 0.0000 0.0000 0.0000  4 Ru 2.26
2 Zn 0.5000 0.5000 0.0000  4 Be 2.59, 8 Ru 2.76-2.78, 2 Zn 2.86
3 Ru 0.2132 0.7132 0.5000  2 Be 2.26
4 Ru 0.7868 0.2868 0.5000  2 Be 2.26

For the volume, the calculation gives 50.9 Å³/cell. As for the total energy: -5.87 eV per atom.

=====

First-principles (PBE-GGA) data for a relaxed Cd6Ag2Pd crystal, as listed in Alexandria via LeMat-Bulk.

Cell: 5.0987 5.0987 9.1304 Å, 102.47 102.47 50.45°
With the nearest neighbours (Å) after each atom.
Fractional positions:
1 Cd 0.0040 0.0040 0.3157  1 Pd 2.87, 3 Ag 2.93-2.96, 7 Cd 3.00-3.20
2 Cd 0.3351 0.3351 0.4419  9 Cd 2.97-3.20, 3 Ag 3.09
3 Cd 0.3380 0.3380 0.0983  3 Pd 2.90-3.03, 4 Ag 2.90-3.04, 5 Cd 3.03-3.14
4 Cd 0.6620 0.6620 0.9017  3 Pd 2.90-3.03, 4 Ag 2.90-3.04, 5 Cd 3.03-3.14
5 Cd 0.6649 0.6649 0.5581  9 Cd 2.97-3.20, 3 Ag 3.09
6 Cd 0.9960 0.9960 0.6843  1 Pd 2.87, 3 Ag 2.93-2.96, 7 Cd 3.00-3.20
7 Ag 0.3257 0.3257 0.7779  10 Cd 2.90-3.09, 2 Pd 3.14
8 Ag 0.6743 0.6743 0.2221  10 Cd 2.90-3.09, 2 Pd 3.14
9 Pd 0.0000 0.0000 0.0000  8 Cd 2.87-3.03, 4 Ag 3.14

For the energy above the most stable polymorph in this dataset, the calculation gives 0.0 meV per atom. For the volume, the calculation gives 177.7 Å³/cell. As for the total energy: -1.93 eV per atom.

=====

First-principles (PBE-GGA) data for a relaxed HoZr2N3 crystal, as listed in Alexandria via LeMat-Bulk.

Cell: 7.4187 7.4187 7.4187 Å, 154.15 154.15 36.88°
With the nearest neighbours (Å) after each atom.
Fractional positions:
1 Ho 0.0000 0.0000 0.0000  6 N 2.35-2.39
2 Zr 0.3323 0.3323 0.0000  6 N 2.29-2.36
3 Zr 0.6677 0.6677 0.0000  6 N 2.29-2.36
4 N 0.1695 0.1695 0.0000  5 Zr 2.29-2.35, 1 Ho 2.39
5 N 0.5000 0.5000 0.0000  4 Ho 2.35, 2 Zr 2.36
6 N 0.8305 0.8305 0.0000  5 Zr 2.29-2.35, 1 Ho 2.39

The value obtained for the formation energy from raw total energies is -10.23 eV per formula unit. For the volume, the calculation gives 77.5 Å³/cell. As for the total energy: -9.48 eV per atom.

=====

First-principles (PBE-GGA) data for a relaxed Li2Ca2LaGe2 crystal, as listed in Alexandria via LeMat-Bulk.

Cell: 9.7762 9.7762 9.7762 Å, 27.33 27.33 27.33°
With the nearest neighbours (Å) after each atom.
Fractional positions:
1 Li 0.0949 0.0949 0.0949  3 Ge 2.67
2 Li 0.9051 0.9051 0.9051  3 Ge 2.67
3 Ca 0.3732 0.3732 0.3732  3 Li 3.09, 3 Ge 3.10
4 Ca 0.6268 0.6268 0.6268  3 Li 3.09, 3 Ge 3.10
5 La 0.5000 0.5000 0.5000  6 Ge 3.33, 6 Li 3.35, 2 Ca 3.58
6 Ge 0.2371 0.2371 0.2371  3 Li 2.67
7 Ge 0.7629 0.7629 0.7629  3 Li 2.67

For the volume, the calculation gives 173.8 Å³/cell. As for the total energy: -3.65 eV per atom.

=====

First-principles (PBE-GGA) data for a relaxed Tm4ThIn2 crystal, as listed in Alexandria via LeMat-Bulk.

Cell: 10.7176 10.7176 10.7176 Å, 27.26 27.26 27.26°
With the nearest neighbours (Å) after each atom.
Fractional positions:
1 Tm 0.1102 0.1102 0.1102  3 In 3.24, 3 Th 3.40
2 Tm 0.2958 0.2958 0.2958  4 In 3.04-3.17
3 Tm 0.7042 0.7042 0.7042  4 In 3.04-3.17
4 Tm 0.8898 0.8898 0.8898  3 In 3.24, 3 Th 3.40
5 Th 0.5000 0.5000 0.5000  2 In 3.15, 6 Tm 3.40
6 In 0.3981 0.3981 0.3981  7 Tm 3.04-3.24, 1 Th 3.15
7 In 0.6019 0.6019 0.6019  7 Tm 3.04-3.24, 1 Th 3.15

For the energy above the most stable polymorph in this dataset, the calculation gives 232.1 meV per atom. For the volume, the calculation gives 227.9 Å³/cell. As for the total energy: -4.26 eV per atom.